No. 1
Computed, not measured: Zr2NiAuC after structural relaxation at the PBE level of DFT.

```
Zr2NiAuC
1.0
-0.168 3.163 3.310
-4.187 -1.447 1.170
1.541 -2.479 2.448
Zr Au Ni C
2 1 1 1
Direct
0.000 0.500 0.000 Zr
0.500 0.000 0.000 Zr
0.500 0.500 0.500 Au
0.000 0.000 0.500 Ni
0.000 0.000 0.000 C
```

Output
Calculated total energy: -7.54 eV/atom
ΔH_f (0 K): -0.4678 eV/atom
Crystal system: tetragonal
SG: P4/mmm

No. 2
Computed, not measured: Te6AuBr2 after structural relaxation at the PBE level of DFT.

```
Te6AuBr2
1.0
12.754 -2.405 6.700
4.917 4.918 5.368
5.597 -2.399 13.328
Te Br Au
12 4 2
Direct
0.907 0.215 0.482 Te
0.040 0.324 0.174 Te
0.960 0.676 0.826 Te
0.234 0.932 0.745 Te
0.515 0.286 0.097 Te
0.485 0.714 0.903 Te
0.255 0.566 0.767 Te
0.093 0.785 0.518 Te
0.745 0.434 0.233 Te
0.823 0.177 0.964 Te
0.177 0.823 0.036 Te
0.766 0.068 0.255 Te
0.667 0.839 0.557 Br
0.333 0.161 0.443 Br
0.558 0.341 0.665 Br
0.442 0.659 0.335 Br
0.916 0.750 0.084 Au
0.084 0.250 0.916 Au
```

Output
Calculated total energy: -2.82 eV/atom
Crystal system: triclinic
SG: P-1

No. 3
Computed, not measured: TaNiIr2 after structural relaxation at the PBE level of DFT.

```
TaNiIr2
1.0
-1.842 -0.579 -1.969
1.641 -2.004 -0.947
-3.407 -4.988 4.653
Ir Ni Ta
2 1 1
Direct
0.000 0.000 0.011 Ir
0.500 0.500 0.260 Ir
0.000 0.000 0.493 Ni
0.500 0.500 0.736 Ta
```

Output
Calculated total energy: -8.97 eV/atom
ΔH_f (0 K): -0.1341 eV/atom
Crystal system: tetragonal
SG: P4mm

No. 4
Computed, not measured: Ac4GeSe3 after structural relaxation at the PBE level of DFT.

```
Ac4GeSe3
1.0
-5.264 -3.419 -1.098
0.283 1.548 -6.175
6.085 -4.235 2.505
Se Ac Ge
3 4 1
Direct
0.250 0.750 0.500 Se
0.500 0.500 0.000 Se
0.750 0.250 0.500 Se
0.500 0.000 0.000 Ac
0.000 0.500 0.000 Ac
0.245 0.245 0.491 Ac
0.755 0.755 0.509 Ac
0.000 0.000 0.000 Ge
```

Output
Calculated total energy: -5.61 eV/atom
ΔE to the lowest computed polymorph: 0 meV/atom
Crystal system: tetragonal
SG: I4/mmm

No. 5
Computed, not measured: YUBiO6 after structural relaxation at the PBE level of DFT.

```
YUBiO6
1.0
5.843 0.000 0.000
-2.922 5.060 0.000
0.000 0.000 9.558
O U Y Bi
12 2 2 2
Direct
0.024 0.662 0.864 O
0.024 0.362 0.636 O
0.662 0.638 0.136 O
0.338 0.976 0.636 O
0.338 0.362 0.864 O
0.976 0.338 0.136 O
0.362 0.338 0.364 O
0.362 0.024 0.136 O
0.638 0.976 0.864 O
0.638 0.662 0.636 O
0.662 0.024 0.364 O
0.976 0.638 0.364 O
0.333 0.667 0.750 U
0.667 0.333 0.250 U
0.667 0.333 0.750 Y
0.333 0.667 0.250 Y
0.000 0.000 0.500 Bi
0.000 0.000 0.000 Bi
```

Output
Calculated total energy: -8.40 eV/atom
Crystal system: trigonal
SG: P-31c

No. 6
Computed, not measured: Ba2LiCdPt after structural relaxation at the PBE level of DFT.

```
Ba2LiCdPt
1.0
-0.592 0.705 6.084
-5.419 -2.911 -0.190
2.478 -4.665 0.782
Ba Pt Li Cd
2 1 1 1
Direct
0.000 0.500 0.000 Ba
0.500 0.000 0.000 Ba
0.000 0.000 0.000 Pt
0.500 0.500 0.500 Li
0.000 0.000 0.500 Cd
```

Output
Calculated total energy: -2.88 eV/atom
ΔH_f (0 K): -0.3323 eV/atom
ΔE to the lowest computed polymorph: 48 meV/atom
Crystal system: tetragonal
SG: P4/mmm

No. 7
Computed, not measured: Pm8GaSn2 after structural relaxation at the PBE level of DFT.

```
Pm8GaSn2
1.0
-4.597 -2.314 0.793
1.895 -5.180 -4.131
5.201 -1.547 8.548
Pm Ga Sn
8 1 2
Direct
0.409 0.528 0.818 Pm
0.215 0.318 0.430 Pm
0.785 0.682 0.570 Pm
0.654 0.998 0.309 Pm
0.346 0.002 0.691 Pm
0.986 0.225 0.972 Pm
0.591 0.472 0.182 Pm
0.014 0.775 0.028 Pm
0.500 0.000 0.000 Ga
0.822 0.249 0.644 Sn
0.178 0.751 0.356 Sn
```

Output
Calculated total energy: -4.84 eV/atom
ΔH_f (0 K): -0.3805 eV/atom
Crystal system: monoclinic
SG: C2/m

No. 8
Computed, not measured: TaTlCr2 after structural relaxation at the PBE level of DFT.

```
TaTlCr2
1.0
-1.392 -2.543 0.620
1.666 -0.320 2.431
-5.056 3.731 3.956
Tl Ta Cr
1 1 2
Direct
0.500 0.500 0.774 Tl
0.000 0.000 0.455 Ta
0.500 0.500 0.213 Cr
0.000 0.000 0.058 Cr
```

Output
Calculated total energy: -7.99 eV/atom
ΔH_f (0 K): 0.3802 eV/atom
ΔE to the lowest computed polymorph: 0 meV/atom
Crystal system: tetragonal
SG: P4mm